! Ba2LiZrSe5, relaxed, DFT PBE; values from VASP
! ρ in Mg/m³: 4.92
! Raw formation energy in eV/atom: -1.476
! Space-group type: Cmc2_1 (36)
! Total DFT energy (no corrections) in eV/atom: -5.002
&SYSTEM
  ibrav = 0, nat = 18, ntyp = 4
/
ATOMIC_SPECIES
Ba 137.33 Ba.upf
Li 6.94 Li.upf
Zr 91.22 Zr.upf
Se 78.96 Se.upf
CELL_PARAMETERS angstrom
2.114 -9.358 0.000
2.114 9.358 0.000
0.000 0.000 13.093
ATOMIC_POSITIONS crystal
Ba 0.111 0.889 0.500
Ba 0.128 0.872 0.125
Ba 0.872 0.128 0.625
Ba 0.889 0.111 0.000
Li 0.440 0.560 0.258
Li 0.560 0.440 0.758
Zr 0.203 0.797 0.828
Zr 0.797 0.203 0.328
Se 0.063 0.937 0.863
Se 0.287 0.713 0.465
Se 0.307 0.693 0.188
Se 0.346 0.654 0.817
Se 0.497 0.503 0.586
Se 0.503 0.497 0.086
Se 0.654 0.346 0.317
Se 0.693 0.307 0.688
Se 0.713 0.287 0.965
Se 0.937 0.063 0.363

! CeDyTm2Ru4, relaxed, DFT PBE; values from VASP
! Energy of formation in eV per atom: -0.43
! ρ in Mg/m³: 11.15
! Space-group type: R-3m (166)
! Total DFT energy (no corrections) in eV/atom: -7.504
&SYSTEM
  ibrav = 0, nat = 8, ntyp = 4
/
ATOMIC_SPECIES
Ce 140.12 Ce.upf
Dy 162.50 Dy.upf
Tm 168.93 Tm.upf
Ru 101.07 Ru.upf
CELL_PARAMETERS angstrom
2.409 1.391 7.740
-2.409 1.391 7.740
0.000 -2.781 7.740
ATOMIC_POSITIONS crystal
Ce 0.000 0.000 0.000
Dy 0.500 0.500 0.500
Tm 0.248 0.248 0.248
Tm 0.752 0.752 0.752
Ru 0.121 0.121 0.121
Ru 0.373 0.373 0.373
Ru 0.627 0.627 0.627
Ru 0.879 0.879 0.879

! HoPaAlIn, relaxed, DFT PBE; values from VASP
! Energy of formation in eV per atom: -0.07
! ρ in Mg/m³: 8.94
! Space-group type: F-43m (216)
! Total DFT energy (no corrections) in eV/atom: -5.209
&SYSTEM
  ibrav = 0, nat = 4, ntyp = 4
/
ATOMIC_SPECIES
Ho 164.93 Ho.upf
Pa 231.04 Pa.upf
Al 26.98 Al.upf
In 114.82 In.upf
CELL_PARAMETERS angstrom
0.000 3.682 3.682
3.682 0.000 3.682
3.682 3.682 0.000
ATOMIC_POSITIONS crystal
Ho 0.000 0.000 0.000
Pa 0.500 0.500 0.500
Al 0.750 0.750 0.750
In 0.250 0.250 0.250